Record 1
# HoZnRh

A relaxed structure of HoZnRh (PBE, Alexandria via LeMat-Bulk).

For the energy of formation, the calculation gives -2.2 eV per formula unit. The volume is 18.840 Å³/atom. The total energy is -5.1297 eV/atom. The density of states at the Fermi level comes out at 4.16 states/eV per cell.

The structure belongs to space group Cmcm (No. 63); the cell edges are 4.182, 9.772 and 5.532 Å and the angles 90.00°, 90.00° and 90.00°. The asymmetric unit holds Ho at (0.000, 0.208, 0.250), Zn at (0.000, 0.500, 0.000) and Rh at (0.000, 0.089, 0.750).

***

Record 2
# RbOs2O

A relaxed structure of RbOs2O (PBE, Alexandria via LeMat-Bulk).

The volume is 21.364 Å³/atom. The total energy is -6.0661 eV/atom. The density of states at the Fermi level comes out at 21.46 states/eV per cell. Its uncorrected formation energy is 1.030 eV/atom.

The structure belongs to space group I4_1/amd (No. 141, origin choice 2); the cell edges are 5.039, 5.039 and 13.460 Å and the angles 90.00°, 90.00° and 90.00°. The asymmetric unit holds Rb at (0.000, 0.250, 0.375), Os at (0.000, 0.000, 0.000) and O at (0.000, 0.250, 0.875).

***

Record 3
# PuMg2Ge2

A relaxed structure of PuMg2Ge2 (PBE, Alexandria via LeMat-Bulk).

For the energy of formation, the calculation gives -0.8 eV per formula unit. The volume is 21.341 Å³/atom. The total energy is -5.5060 eV/atom. The density of states at the Fermi level comes out at 17.83 states/eV per cell.

The structure belongs to space group P2_1/m (No. 11); the cell edges are 5.480, 2.994 and 13.197 Å and the angles 90.00°, 99.74° and 90.00°. The asymmetric unit holds Pu at (0.142, 0.250, 0.230), Mg at (0.242, 0.750, 0.998), Mg at (0.296, 0.250, 0.613), Ge at (0.221, 0.750, 0.428) and Ge at (0.384, 0.250, 0.828).

***

Record 4
# MnCoIr

A relaxed structure of MnCoIr (PBE, Alexandria via LeMat-Bulk).

For the energy of formation, the calculation gives 1.1 eV per formula unit. The polymorph energy (0 for the lowest one) is 418 meV/atom. The volume is 14.043 Å³/atom. The total energy is -8.0225 eV/atom. The density of states at the Fermi level comes out at 21.46 states/eV per cell.

The structure belongs to space group F-43m (No. 216); the cell edges are 5.523, 5.523 and 5.523 Å and the angles 90.00°, 90.00° and 90.00°. The asymmetric unit holds Mn at (0.000, 0.000, 0.000), Co at (0.250, 0.250, 0.750) and Ir at (0.250, 0.250, 0.250).

***

Record 5
# PmNdCdBi

A relaxed structure of PmNdCdBi (PBE, Alexandria via LeMat-Bulk).

For the energy of formation, the calculation gives -2.0 eV per formula unit. The volume is 29.598 Å³/atom. The total energy is -4.0679 eV/atom. The density of states at the Fermi level comes out at 10.88 states/eV per cell.

The structure belongs to space group F-43m (No. 216); the cell edges are 7.795, 7.795 and 7.795 Å and the angles 90.00°, 90.00° and 90.00°. The asymmetric unit holds Pm at (0.000, 0.000, 0.000), Nd at (0.000, 0.000, 0.500), Cd at (0.250, 0.250, 0.750) and Bi at (0.250, 0.250, 0.250).

***

Record 6
# La3Rh

A relaxed structure of La3Rh (PBE, Alexandria via LeMat-Bulk).

For the energy of formation, the calculation gives -0.3 eV per formula unit. The volume is 26.575 Å³/atom. The total energy is -5.6037 eV/atom. The density of states at the Fermi level comes out at 25.52 states/eV per cell.

The structure belongs to space group Fm-3m (No. 225); the cell edges are 7.520, 7.520 and 7.520 Å and the angles 90.00°, 90.00° and 90.00°. The asymmetric unit holds La at (0.000, 0.000, 0.000), La at (0.250, 0.250, 0.250) and Rh at (0.000, 0.000, 0.500).

***

Record 7
# LaScCd3

A relaxed structure of LaScCd3 (PBE, Alexandria via LeMat-Bulk).

For the energy of formation, the calculation gives 4.6 eV per formula unit. The polymorph energy (0 for the lowest one) is 682 meV/atom. The volume is 39.132 Å³/atom. The total energy is -1.8845 eV/atom. The density of states at the Fermi level comes out at 8.15 states/eV per cell.

The structure belongs to space group Pm-3m (No. 221); the cell edges are 5.805, 5.805 and 5.805 Å and the angles 90.00°, 90.00° and 90.00°. The asymmetric unit holds La at (0.000, 0.000, 0.000), Sc at (0.500, 0.500, 0.500) and Cd at (0.000, 0.000, 0.500).

***

Record 8
# Pm8Mg2Ag

A relaxed structure of Pm8Mg2Ag (PBE, Alexandria via LeMat-Bulk).

For the energy of formation, the calculation gives 0.0 eV per formula unit. The volume is 31.240 Å³/atom. The total energy is -4.0032 eV/atom. The density of states at the Fermi level comes out at 24.86 states/eV per cell.

The structure belongs to space group C2/m (No. 12); the cell edges are 18.351, 5.449 and 7.125 Å and the angles 90.00°, 105.28° and 90.00°. The asymmetric unit holds Pm at (0.021, 0.000, 0.266), Pm at (0.094, 0.500, 0.949), Pm at (0.158, 0.500, 0.449), Pm at (0.194, 0.000, 0.774), Mg at (0.190, 0.000, 0.216) and Ag at (0.000, 0.500, 0.500).

***

Record 9
# ZrSi

A relaxed structure of ZrSi (PBE, Alexandria via LeMat-Bulk).

The volume is 18.310 Å³/atom. The total energy is -7.5345 eV/atom. The density of states at the Fermi level comes out at 2.42 states/eV per cell. Its uncorrected formation energy is -0.549 eV/atom.

The structure belongs to space group Cmmm (No. 65); the cell edges are 3.934, 4.875 and 3.819 Å and the angles 90.00°, 90.00° and 90.00°. The asymmetric unit holds Zr at (0.000, 0.000, 0.000) and Si at (0.000, 0.500, 0.500).

***

Record 10
# Tc2PbN

A relaxed structure of Tc2PbN (PBE, Alexandria via LeMat-Bulk).

The polymorph energy (0 for the lowest one) is 1188 meV/atom. The volume is 15.339 Å³/atom. The total energy is -6.5905 eV/atom. The density of states at the Fermi level comes out at 21.39 states/eV per cell. Its uncorrected formation energy is 1.601 eV/atom.

The structure belongs to space group Fm-3m (No. 225); the cell edges are 6.261, 6.261 and 6.261 Å and the angles 90.00°, 90.00° and 90.00°. The asymmetric unit holds Tc at (0.250, 0.250, 0.250), Pb at (0.000, 0.000, 0.000) and N at (0.000, 0.000, 0.500).

***

Record 11
# MgBe2Hg

A relaxed structure of MgBe2Hg (PBE, Alexandria via LeMat-Bulk).

For the energy of formation, the calculation gives 1.6 eV per formula unit. The polymorph energy (0 for the lowest one) is 150 meV/atom. The volume is 15.379 Å³/atom. The total energy is -1.9301 eV/atom. The density of states at the Fermi level comes out at 1.29 states/eV per cell.

The structure belongs to space group Cmmm (No. 65); the cell edges are 4.424, 5.112 and 5.441 Å and the angles 90.00°, 90.00° and 90.00°. The asymmetric unit holds Mg at (0.000, 0.000, 0.000), Be at (0.000, 0.500, 0.262) and Hg at (0.000, 0.000, 0.500).

***

Record 12
# RbW4S8

A relaxed structure of RbW4S8 (PBE, Alexandria via LeMat-Bulk).

The volume is 19.057 Å³/atom. The total energy is -7.2104 eV/atom. The density of states at the Fermi level comes out at 6.64 states/eV per cell. Its uncorrected formation energy is -0.610 eV/atom.

The structure belongs to space group C2/m (No. 12); the cell edges are 16.960, 3.273 and 11.830 Å and the angles 90.00°, 131.02° and 90.00°. The asymmetric unit holds Rb at (0.000, 0.000, 0.000), W at (0.172, 0.000, 0.483), W at (0.182, 0.500, 0.865), S at (0.043, 0.000, 0.741), S at (0.138, 0.500, 0.598), S at (0.145, 0.500, 0.310) and S at (0.192, 0.500, 0.077).

***

Record 13
# Pr2YZn2Sn2

A relaxed structure of Pr2YZn2Sn2 (PBE, Alexandria via LeMat-Bulk).

For the energy of formation, the calculation gives -2.7 eV per formula unit. The volume is 28.354 Å³/atom. The total energy is -4.1818 eV/atom. The density of states at the Fermi level comes out at 12.49 states/eV per cell.

The structure belongs to space group R-3m (No. 166, hexagonal axes); the cell edges are 4.4500, 4.4500 and 34.7203 Å and the angles 90.00°, 90.00° and 120.00°. The asymmetric unit holds Pr at (0.0000, 0.0000, 0.1209), Y at (0.0000, 0.0000, 0.0000), Zn at (0.0000, 0.0000, 0.4072) and Sn at (0.0000, 0.0000, 0.2790).